Record 1
Crystalline Ca3TbPb2O at its relaxed geometry. Source: Alexandria via LeMat-Bulk, functional PBE.

Cell lengths 9.092, 9.092, 9.092 Å; angles 149.99, 149.54, 43.28 degrees
Element x y z (fractional)
Ca 0.000 0.000 0.000
Ca 0.169 0.669 0.500
Ca 0.831 0.331 0.500
Tb 0.500 0.500 0.000
Pb 0.364 0.864 0.500
Pb 0.636 0.136 0.500
O 0.000 0.500 0.500

Calculated values
Its calculated total energy is -31.6 eV/cell. As for the calculated density: 6.20 g cm⁻³. The uncorrected formation energy is -1221 meV/atom.

Record 2
Crystalline Ca2TbPbO6 at its relaxed geometry. Source: Alexandria via LeMat-Bulk, functional PBE.

Cell lengths 5.839, 6.069, 10.021 Å; angles 90.00, 124.84, 90.00 degrees
Element x y z (fractional)
Ca 0.230 0.057 0.250
Ca 0.230 0.443 0.750
Ca 0.770 0.557 0.250
Ca 0.770 0.943 0.750
Tb 0.500 0.000 0.000
Tb 0.500 0.500 0.500
Pb 0.000 0.000 0.500
Pb 0.000 0.500 0.000
O 0.118 0.205 0.924
O 0.118 0.295 0.424
O 0.223 0.699 0.926
O 0.223 0.801 0.426
O 0.385 0.072 0.745
O 0.385 0.428 0.245
O 0.615 0.572 0.755
O 0.615 0.928 0.255
O 0.777 0.199 0.574
O 0.777 0.301 0.074
O 0.882 0.705 0.576
O 0.882 0.795 0.076

Calculated values
Its calculated total energy is -129.3 eV/cell. As for the calculated density: 6.18 g cm⁻³. The uncorrected formation energy is -2254 meV/atom.

Record 3
Crystalline CaTb2PbO6 at its relaxed geometry. Source: Alexandria via LeMat-Bulk, functional PBE.

Cell lengths 6.125, 6.125, 6.125 Å; angles 56.84, 56.84, 56.84 degrees
Element x y z (fractional)
Ca 0.000 0.000 0.000
Tb 0.281 0.281 0.281
Tb 0.781 0.781 0.781
Pb 0.492 0.492 0.492
O 0.100 0.670 0.399
O 0.197 0.591 0.874
O 0.399 0.100 0.670
O 0.591 0.874 0.197
O 0.670 0.399 0.100
O 0.874 0.197 0.591

Calculated values
Its calculated total energy is -71.0 eV/cell. As for the calculated density: 7.29 g cm⁻³. The uncorrected formation energy is -2631 meV/atom.

Record 4
Crystalline Ca2TcPbO8 at its relaxed geometry. Source: Alexandria via LeMat-Bulk, functional PBE.

Cell lengths 5.066, 5.066, 6.881 Å; angles 90.00, 90.00, 93.10 degrees
Element x y z (fractional)
Ca 0.000 0.000 0.245
Ca 0.000 0.000 0.755
Tc 0.500 0.500 0.000
Pb 0.500 0.500 0.500
O 0.213 0.213 0.500
O 0.231 0.231 0.000
O 0.322 0.678 0.201
O 0.322 0.678 0.799
O 0.678 0.322 0.201
O 0.678 0.322 0.799
O 0.769 0.769 0.000
O 0.787 0.787 0.500

Calculated values
Its calculated total energy is -76.6 eV/cell. As for the calculated density: 4.83 g cm⁻³. The uncorrected formation energy is -1573 meV/atom.

Record 5
Crystalline CaTcPb2O6 at its relaxed geometry. Source: Alexandria via LeMat-Bulk, functional PBE.

Cell lengths 5.812, 5.940, 10.119 Å; angles 90.00, 125.06, 90.00 degrees
Element x y z (fractional)
Ca 0.000 0.000 0.000
Ca 0.000 0.500 0.500
Tc 0.500 0.000 0.500
Tc 0.500 0.500 0.000
Pb 0.258 0.039 0.749
Pb 0.258 0.461 0.249
Pb 0.742 0.539 0.751
Pb 0.742 0.961 0.251
O 0.182 0.030 0.275
O 0.182 0.470 0.775
O 0.275 0.684 0.046
O 0.275 0.816 0.546
O 0.375 0.229 0.051
O 0.375 0.271 0.551
O 0.625 0.729 0.449
O 0.625 0.771 0.949
O 0.725 0.184 0.454
O 0.725 0.316 0.954
O 0.818 0.530 0.225
O 0.818 0.970 0.725

Calculated values
Its calculated total energy is -131.4 eV/cell. As for the calculated density: 7.53 g cm⁻³. The uncorrected formation energy is -1618 meV/atom.

Record 6
Crystalline CaTePb2O8 at its relaxed geometry. Source: Alexandria via LeMat-Bulk, functional PBE.

Cell lengths 4.988, 6.820, 5.001 Å; angles 90.00, 90.86, 90.00 degrees
Element x y z (fractional)
Ca 0.000 0.000 0.000
Te 0.000 0.500 0.000
Pb 0.500 0.250 0.500
Pb 0.500 0.750 0.500
O 0.186 0.288 0.181
O 0.186 0.712 0.181
O 0.284 0.500 0.709
O 0.310 0.000 0.685
O 0.690 0.000 0.315
O 0.716 0.500 0.291
O 0.814 0.288 0.819
O 0.814 0.712 0.819

Calculated values
Its calculated total energy is -67.3 eV/cell. As for the calculated density: 6.93 g cm⁻³. The uncorrected formation energy is -1256 meV/atom.

Record 7
Crystalline CaTiPbO4 at its relaxed geometry. Source: Alexandria via LeMat-Bulk, functional PBE.

Cell lengths 6.181, 5.943, 7.089 Å; angles 90.00, 99.54, 90.00 degrees
Element x y z (fractional)
Ca 0.179 0.250 0.087
Ca 0.821 0.750 0.913
Ti 0.309 0.750 0.857
Ti 0.691 0.250 0.143
Pb 0.282 0.250 0.636
Pb 0.718 0.750 0.364
O 0.111 0.511 0.827
O 0.111 0.989 0.827
O 0.477 0.750 0.092
O 0.496 0.750 0.688
O 0.504 0.250 0.312
O 0.523 0.250 0.908
O 0.889 0.011 0.173
O 0.889 0.489 0.173

Calculated values
Its calculated total energy is -101.4 eV/cell. As for the calculated density: 4.64 g cm⁻³. The uncorrected formation energy is -2464 meV/atom.

Record 8
Crystalline Ca3Ti4PbO12 at its relaxed geometry. Source: Alexandria via LeMat-Bulk, functional PBE.

Cell lengths 5.504, 7.749, 5.570 Å; angles 90.00, 90.57, 90.00 degrees
Element x y z (fractional)
Ca 0.000 0.000 0.000
Ca 0.003 0.500 0.933
Ca 0.490 0.500 0.427
Ti 0.505 0.253 0.957
Ti 0.505 0.747 0.957
Ti 0.996 0.256 0.460
Ti 0.996 0.744 0.460
Pb 0.498 0.000 0.475
O 0.036 0.000 0.456
O 0.202 0.293 0.201
O 0.202 0.707 0.201
O 0.279 0.290 0.699
O 0.279 0.710 0.699
O 0.426 0.000 0.993
O 0.562 0.500 0.991
O 0.707 0.234 0.269
O 0.707 0.766 0.269
O 0.786 0.216 0.781
O 0.786 0.784 0.781
O 0.918 0.500 0.512

Calculated values
Its calculated total energy is -159.1 eV/cell. As for the calculated density: 4.97 g cm⁻³. The uncorrected formation energy is -2914 meV/atom.